# Th2Ni3P4Ru (PBE-GGA, relaxed)
# * formation energy from the elements: -982 meV/atom
# * total energy: -72.92 eV per cell
# * M_tot: 0.0 μB/f.u.
data_Th2Ni3P4Ru
_chemical_formula_sum 'Th2 Ni3 P4 Ru1'
_space_group_name_H-M_alt 'P -4 m 2'
_space_group_IT_number 115
_cell_length_a 4.116
_cell_length_b 4.116
_cell_length_c 9.228
_cell_angle_alpha 90.00
_cell_angle_beta 90.00
_cell_angle_gamma 90.00
loop_
_space_group_symop_operation_xyz
'x,y,z'
'y,-x,-z'
'-x,-y,z'
'-y,x,-z'
'-x,y,z'
'-y,-x,-z'
'x,-y,z'
'y,x,-z'
loop_
_atom_site_label
_atom_site_fract_x
_atom_site_fract_y
_atom_site_fract_z
Th1 0.000 0.500 0.244
Ni1 0.000 0.500 0.887
Ni2 0.500 0.500 0.500
P1 0.000 0.000 0.000
P2 0.000 0.500 0.634
P3 0.500 0.500 0.000
Ru1 0.000 0.000 0.500